(A)
Density functional theory data (PBE) for K2YPt after structural relaxation.

The structure belongs to space group R-3m (No. 166, hexagonal axes); the cell edges are 3.3991, 3.3991 and 37.2523 Å and the angles 90.00°, 90.00° and 120.00°. The asymmetric unit holds K at (0.0000, 0.0000, 0.2340), Y at (0.0000, 0.0000, 0.0000) and Pt at (0.0000, 0.0000, 0.5000).

For the density of states at the Fermi level, the calculation gives 0.716 states/eV per atom. Its density is 4.8 Mg/m³. The volume comes out at 31.062 Å³ per atom.

***

(B)
Density functional theory data (PBE) for K2YPt after structural relaxation.

The structure belongs to space group P4/mmm (No. 123); the cell edges are 3.303, 3.303 and 12.019 Å and the angles 90.00°, 90.00° and 90.00°. The asymmetric unit holds K at (0.000, 0.000, 0.185), Y at (0.500, 0.500, 0.500) and Pt at (0.500, 0.500, 0.000).

For the density of states at the Fermi level, the calculation gives 1.046 states/eV per atom. Its density is 4.6 Mg/m³. The volume comes out at 32.774 Å³ per atom.

***

(C)
Density functional theory data (PBE) for K2YPt after structural relaxation.

The structure belongs to space group P4mm (No. 99); the cell edges are 3.762, 3.762 and 11.003 Å and the angles 90.00°, 90.00° and 90.00°. The asymmetric unit holds K at (0.000, 0.000, 0.000), K at (0.500, 0.500, 0.369), Y at (0.500, 0.500, 0.693) and Pt at (0.000, 0.000, 0.595).

For the density of states at the Fermi level, the calculation gives 1.188 states/eV per atom. Its density is 3.9 Mg/m³. The volume comes out at 38.933 Å³ per atom.

***

(D)
Density functional theory data (PBE) for K2YPt after structural relaxation.

The structure belongs to space group I-42d (No. 122); the cell edges are 11.622, 11.622 and 5.338 Å and the angles 90.00°, 90.00° and 90.00°. The asymmetric unit holds K at (0.123, 0.750, 0.125), Y at (0.000, 0.000, 0.500) and Pt at (0.000, 0.000, 0.000).

For the density of states at the Fermi level, the calculation gives 1.201 states/eV per atom. Its density is 3.3 Mg/m³. The volume comes out at 45.056 Å³ per atom.

***

Tell me which of them is the most stable. Sure, it is (C).

***

(A)
Density functional theory data (PBE) for K2YPt after structural relaxation.

The structure belongs to space group C2/m (No. 12); the cell edges are 20.977, 3.724 and 4.265 Å and the angles 90.00°, 101.53° and 90.00°. The asymmetric unit holds K at (0.153, 0.000, 0.151), Y at (0.000, 0.000, 0.500) and Pt at (0.000, 0.500, 0.000).

For the density of states at the Fermi level, the calculation gives 0.631 states/eV per atom. Its density is 3.7 Mg/m³. The volume comes out at 40.807 Å³ per atom.

***

(B)
Density functional theory data (PBE) for K2YPt after structural relaxation.

The structure belongs to space group Fmmm (No. 69); the cell edges are 6.005, 6.212 and 13.051 Å and the angles 90.00°, 90.00° and 90.00°. The asymmetric unit holds K at (0.000, 0.250, 0.250), Y at (0.000, 0.000, 0.000) and Pt at (0.000, 0.000, 0.500).

For the density of states at the Fermi level, the calculation gives 0.491 states/eV per atom. Its density is 4.9 Mg/m³. The volume comes out at 30.430 Å³ per atom.

***

Tell me which of them is the most stable. Sure, it is (A).

***

(A)
Density functional theory data (PBE) for K3YPt after structural relaxation.

The structure belongs to space group Pm-3m (No. 221); the cell edges are 6.632, 6.632 and 6.632 Å and the angles 90.00°, 90.00° and 90.00°. The asymmetric unit holds K at (0.000, 0.000, 0.500), Y at (0.000, 0.000, 0.000) and Pt at (0.500, 0.500, 0.500).

For the density of states at the Fermi level, the calculation gives 2.379 states/eV per atom. Its density is 2.3 Mg/m³. The volume comes out at 58.336 Å³ per atom.

***

(B)
Density functional theory data (PBE) for K3YPt after structural relaxation.

The structure belongs to space group Pm-3m (No. 221); the cell edges are 6.177, 6.177 and 6.177 Å and the angles 90.00°, 90.00° and 90.00°. The asymmetric unit holds K at (0.000, 0.000, 0.500), Y at (0.500, 0.500, 0.500) and Pt at (0.000, 0.000, 0.000).

For the density of states at the Fermi level, the calculation gives 0.457 states/eV per atom. Its density is 2.8 Mg/m³. The volume comes out at 47.132 Å³ per atom.

***

Tell me which of them is the most stable. Sure, it is (B).

***

(A)
Density functional theory data (PBE) for K2YPt2 after structural relaxation.

The structure belongs to space group P4/mbm (No. 127); the cell edges are 7.229, 7.229 and 5.514 Å and the angles 90.00°, 90.00° and 90.00°. The asymmetric unit holds K at (0.163, 0.337, 0.000), Y at (0.000, 0.000, 0.500) and Pt at (0.129, 0.629, 0.500).

For the density of states at the Fermi level, the calculation gives 0.317 states/eV per atom. Its density is 6.4 Mg/m³. The volume comes out at 28.814 Å³ per atom.

***

(B)
Density functional theory data (PBE) for K2YPt2 after structural relaxation.

The structure belongs to space group I4/mmm (No. 139); the cell edges are 5.410, 5.410 and 9.245 Å and the angles 90.00°, 90.00° and 90.00°. The asymmetric unit holds K at (0.000, 0.000, 0.141), Y at (0.000, 0.000, 0.500) and Pt at (0.000, 0.500, 0.250).

For the density of states at the Fermi level, the calculation gives 0.447 states/eV per atom. Its density is 6.8 Mg/m³. The volume comes out at 27.056 Å³ per atom.

***

Tell me which of them is the most stable. Sure, it is (A).

***

(A)
Density functional theory data (PBE) for KZn2Pt after structural relaxation.

The structure belongs to space group C2/m (No. 12); the cell edges are 8.790, 2.928 and 6.810 Å and the angles 90.00°, 96.48° and 90.00°. The asymmetric unit holds K at (0.000, 0.000, 0.000), Zn at (0.229, 0.000, 0.657) and Pt at (0.000, 0.500, 0.500).

For the density of states at the Fermi level, the calculation gives 0.300 states/eV per atom. Its density is 7.0 Mg/m³. The volume comes out at 21.769 Å³ per atom.

***

(B)
Density functional theory data (PBE) for KZn2Pt after structural relaxation.

The structure belongs to space group Pnma (No. 62); the cell edges are 8.036, 4.858 and 11.004 Å and the angles 90.00°, 90.00° and 90.00°. The asymmetric unit holds K at (0.159, 0.250, 0.121), Zn at (0.085, 0.250, 0.428), Zn at (0.148, 0.250, 0.783) and Pt at (0.072, 0.750, 0.369).

For the density of states at the Fermi level, the calculation gives 0.356 states/eV per atom. Its density is 5.6 Mg/m³. The volume comes out at 26.852 Å³ per atom.

***

Tell me which of them is the most stable. Sure, it is (B).

***

(A)
Density functional theory data (PBE) for KZn2Pt after structural relaxation.

The structure belongs to space group Fm-3m (No. 225); the cell edges are 6.773, 6.773 and 6.773 Å and the angles 90.00°, 90.00° and 90.00°. The asymmetric unit holds K at (0.000, 0.000, 0.000), Zn at (0.250, 0.250, 0.250) and Pt at (0.000, 0.000, 0.500).

For the density of states at the Fermi level, the calculation gives 0.308 states/eV per atom. Its density is 7.8 Mg/m³. The volume comes out at 19.423 Å³ per atom.

***

(B)
Density functional theory data (PBE) for KZn2Pt after structural relaxation.

The structure belongs to space group Pm (No. 6); the cell edges are 2.946, 4.211 and 7.576 Å and the angles 90.00°, 90.01° and 90.00°. The asymmetric unit holds K at (0.000, 0.000, 0.000), Zn at (0.504, 0.500, 0.329), Zn at (0.505, 0.000, 0.601) and Pt at (0.005, 0.500, 0.616).

For the density of states at the Fermi level, the calculation gives 0.301 states/eV per atom. Its density is 6.4 Mg/m³. The volume comes out at 23.500 Å³ per atom.

***

(C)
Density functional theory data (PBE) for KZn2Pt after structural relaxation.

The structure belongs to space group Cmmm (No. 65); the cell edges are 7.154, 7.201 and 2.921 Å and the angles 90.00°, 90.00° and 90.00°. The asymmetric unit holds K at (0.000, 0.000, 0.000), Zn at (0.250, 0.250, 0.500) and Pt at (0.000, 0.500, 0.000).

For the density of states at the Fermi level, the calculation gives 0.337 states/eV per atom. Its density is 8.1 Mg/m³. The volume comes out at 18.809 Å³ per atom.

***

Tell me which of them is the most stable. Sure, it is (B).

***

(A)
Density functional theory data (PBE) for KZn2Pt after structural relaxation.

The structure belongs to space group Imm2 (No. 44); the cell edges are 2.879, 5.216 and 10.545 Å and the angles 90.00°, 90.00° and 90.00°. The asymmetric unit holds K at (0.000, 0.000, 0.000), Zn at (0.000, 0.000, 0.476), Zn at (0.000, 0.500, 0.208) and Pt at (0.000, 0.500, 0.778).

For the density of states at the Fermi level, the calculation gives 0.301 states/eV per atom. Its density is 7.7 Mg/m³. The volume comes out at 19.791 Å³ per atom.

***

(B)
Density functional theory data (PBE) for KZn2Pt after structural relaxation.

The structure belongs to space group Immm (No. 71); the cell edges are 4.152, 5.708 and 8.060 Å and the angles 90.00°, 90.00° and 90.00°. The asymmetric unit holds K at (0.000, 0.000, 0.000), Zn at (0.000, 0.500, 0.180) and Pt at (0.000, 0.000, 0.500).

For the density of states at the Fermi level, the calculation gives 0.219 states/eV per atom. Its density is 6.3 Mg/m³. The volume comes out at 23.876 Å³ per atom.

***

(C)
Density functional theory data (PBE) for KZn2Pt after structural relaxation.

The structure belongs to space group I4_1/amd (No. 141, origin choice 2); the cell edges are 5.167, 5.167 and 16.856 Å and the angles 90.00°, 90.00° and 90.00°. The asymmetric unit holds K at (0.000, 0.250, 0.375), Zn at (0.000, 0.000, 0.000) and Pt at (0.000, 0.250, 0.875).

For the density of states at the Fermi level, the calculation gives 0.389 states/eV per atom. Its density is 5.4 Mg/m³. The volume comes out at 28.125 Å³ per atom.

***

(D)
Density functional theory data (PBE) for KZn2Pt after structural relaxation.

The structure belongs to space group P2/m (No. 10); the cell edges are 2.862, 3.866 and 7.493 Å and the angles 90.00°, 90.75° and 90.00°. The asymmetric unit holds K at (0.000, 0.000, 0.000), Zn at (0.498, 0.500, 0.329) and Pt at (0.000, 0.000, 0.500).

For the density of states at the Fermi level, the calculation gives 0.414 states/eV per atom. Its density is 7.3 Mg/m³. The volume comes out at 20.730 Å³ per atom.

***

Tell me which of them is the most stable. Sure, it is (C).

***

(A)
Density functional theory data (PBE) for KZnPt3 after structural relaxation.

The structure belongs to space group Pm-3m (No. 221); the cell edges are 4.783, 4.783 and 4.783 Å and the angles 90.00°, 90.00° and 90.00°. The asymmetric unit holds K at (0.000, 0.000, 0.000), Zn at (0.500, 0.500, 0.500) and Pt at (0.000, 0.500, 0.500).

For the density of states at the Fermi level, the calculation gives 0.575 states/eV per atom. Its density is 10.5 Mg/m³. The volume comes out at 21.886 Å³ per atom.

***

(B)
Density functional theory data (PBE) for KZnPt3 after structural relaxation.

The structure belongs to space group Pm-3m (No. 221); the cell edges are 4.969, 4.969 and 4.969 Å and the angles 90.00°, 90.00° and 90.00°. The asymmetric unit holds K at (0.000, 0.000, 0.000), Zn at (0.500, 0.500, 0.500) and Pt at (0.000, 0.000, 0.500).

For the density of states at the Fermi level, the calculation gives 1.893 states/eV per atom. Its density is 9.3 Mg/m³. The volume comes out at 24.533 Å³ per atom.

***

Tell me which of them is the most stable. Sure, it is (A).

***

(A)
Density functional theory data (PBE) for K2ZnPt2 after structural relaxation.

The structure belongs to space group P4/mbm (No. 127); the cell edges are 6.597, 6.597 and 5.394 Å and the angles 90.00°, 90.00° and 90.00°. The asymmetric unit holds K at (0.174, 0.326, 0.000), Zn at (0.000, 0.000, 0.500) and Pt at (0.139, 0.639, 0.500).

For the density of states at the Fermi level, the calculation gives 0.199 states/eV per atom. Its density is 7.6 Mg/m³. The volume comes out at 23.479 Å³ per atom.

***

(B)
Density functional theory data (PBE) for K2ZnPt2 after structural relaxation.

The structure belongs to space group R-3m (No. 166, hexagonal axes); the cell edges are 4.5176, 4.5176 and 29.9444 Å and the angles 90.00°, 90.00° and 120.00°. The asymmetric unit holds K at (0.0000, 0.0000, 0.0738), Zn at (0.0000, 0.0000, 0.5000) and Pt at (0.0000, 0.0000, 0.1754).

For the density of states at the Fermi level, the calculation gives 0.737 states/eV per atom. Its density is 5.0 Mg/m³. The volume comes out at 35.284 Å³ per atom.

***

Tell me which of them is the most stable. Sure, it is (B).

***

(A)
Density functional theory data (PBE) for KZrPt3 after structural relaxation.

The structure belongs to space group Pm-3m (No. 221); the cell edges are 5.107, 5.107 and 5.107 Å and the angles 90.00°, 90.00° and 90.00°. The asymmetric unit holds K at (0.000, 0.000, 0.000), Zr at (0.500, 0.500, 0.500) and Pt at (0.000, 0.500, 0.500).

For the density of states at the Fermi level, the calculation gives 1.152 states/eV per atom. Its density is 8.9 Mg/m³. The volume comes out at 26.635 Å³ per atom.

***

(B)
Density functional theory data (PBE) for KZrPt3 after structural relaxation.

The structure belongs to space group Pm-3m (No. 221); the cell edges are 4.857, 4.857 and 4.857 Å and the angles 90.00°, 90.00° and 90.00°. The asymmetric unit holds K at (0.000, 0.000, 0.000), Zr at (0.500, 0.500, 0.500) and Pt at (0.000, 0.000, 0.500).

For the density of states at the Fermi level, the calculation gives 1.127 states/eV per atom. Its density is 10.4 Mg/m³. The volume comes out at 22.922 Å³ per atom.

***

Tell me which of them is the most stable. Sure, it is (A).

***

(A)
Density functional theory data (PBE) for KZrPt2 after structural relaxation.

The structure belongs to space group R3m (No. 160, hexagonal axes); the cell edges are 2.9856, 2.9856 and 32.5147 Å and the angles 90.00°, 90.00° and 120.00°. The asymmetric unit holds K at (0.0000, 0.0000, 0.0000), Zr at (0.0000, 0.0000, 0.7778), Pt at (0.0000, 0.0000, 0.2522) and Pt at (0.0000, 0.0000, 0.5131).

For the density of states at the Fermi level, the calculation gives 1.017 states/eV per atom. Its density is 10.3 Mg/m³. The volume comes out at 20.917 Å³ per atom.

***

(B)
Density functional theory data (PBE) for KZrPt2 after structural relaxation.

The structure belongs to space group Fm-3m (No. 225); the cell edges are 6.874, 6.874 and 6.874 Å and the angles 90.00°, 90.00° and 90.00°. The asymmetric unit holds K at (0.000, 0.000, 0.000), Zr at (0.000, 0.000, 0.500) and Pt at (0.250, 0.250, 0.250).

For the density of states at the Fermi level, the calculation gives 0.608 states/eV per atom. Its density is 10.6 Mg/m³. The volume comes out at 20.301 Å³ per atom.

***

(C)
Density functional theory data (PBE) for KZrPt2 after structural relaxation.

The structure belongs to space group C2/m (No. 12); the cell edges are 6.588, 3.761 and 8.473 Å and the angles 90.00°, 104.53° and 90.00°. The asymmetric unit holds K at (0.000, 0.000, 0.000), Zr at (0.000, 0.500, 0.500) and Pt at (0.230, 0.000, 0.692).

For the density of states at the Fermi level, the calculation gives 0.588 states/eV per atom. Its density is 8.5 Mg/m³. The volume comes out at 25.404 Å³ per atom.

***

Tell me which of them is the most stable. Sure, it is (C).